Pa3Tl2GeO12 | PBE | relaxed

## Properties
SG   R-3m
Raw total energy   -138.73 eV for the cell shown
Volume   18.95 Å³/atom
Formation energy (no corrections)   -2.300 eV/atom

a = 7.6891 Å, b = 7.6891 Å, c = 7.6891 Å
α = 62.76°, β = 62.76°, γ = 62.76°
Last column: nearest neighbours and their distance in Å.
Sites, in units of the cell vectors:
O: 0.0538 0.0538 0.7177  1 Ge 1.89
O: 0.6753 0.0672 0.6753  2 Pa 2.17
O: 0.9462 0.9462 0.2823  1 Ge 1.89
O: 0.2823 0.9462 0.9462  1 Ge 1.89
O: 0.3247 0.3247 0.9328  2 Pa 2.17
O: 0.3247 0.9328 0.3247  2 Pa 2.17
O: 0.7177 0.0538 0.0538  1 Ge 1.89
O: 0.9462 0.2823 0.9462  1 Ge 1.89
O: 0.0672 0.6753 0.6753  2 Pa 2.17
O: 0.9328 0.3247 0.3247  2 Pa 2.17
O: 0.0538 0.7177 0.0538  1 Ge 1.89
O: 0.6753 0.6753 0.0672  2 Pa 2.17
Tl: 0.3909 0.3909 0.3909  3 O 3.19
Tl: 0.6091 0.6091 0.6091  3 O 3.19
Pa: 0.0000 0.5000 0.0000  6 O 2.14-2.17
Pa: 0.0000 0.0000 0.5000  6 O 2.14-2.17
Pa: 0.5000 0.0000 0.0000  6 O 2.14-2.17
Ge: 0.0000 0.0000 0.0000  6 O 1.89